Entry 1:
# PmScTc GGA-PBE optimized geometry
# * calculated volume: 25.45 Å³/atom
# * total DFT energy (no corrections): -6.92 eV per atom
# * energy above the most stable polymorph in this dataset: 0.248 eV per atom
# * formation energy: 225 meV/atom
# * crystal system: trigonal
data_PmScTc
_symmetry_space_group_name_H-M 'R 3'
_symmetry_Int_Tables_number 146
_symmetry_space_group_name_Hall 'R 3'
_cell_length_a 6.3946
_cell_length_b 6.3946
_cell_length_c 19.4070
_cell_angle_alpha 90.00
_cell_angle_beta 90.00
_cell_angle_gamma 120.00
loop_
_atom_site_label
_atom_site_type_symbol
_atom_site_fract_x
_atom_site_fract_y
_atom_site_fract_z
_atom_site_occupancy
Pm1 Pm 0.0032 0.3564 0.0000 1
Sc1 Sc 0.0012 0.6024 0.4995 1
Tc1 Tc 0.0000 0.0000 0.4368 1
Tc2 Tc 0.0000 0.0000 0.5592 1
Tc3 Tc 0.0000 0.0000 0.9196 1



Entry 2:
# MgTc GGA-PBE optimized geometry
# * calculated volume: 16.09 Å³/atom
# * total DFT energy (no corrections): -5.66 eV per atom
# * energy above the most stable polymorph in this dataset: 0.340 eV per atom
# * formation energy: 316 meV/atom
# * crystal system: hexagonal
data_MgTc
_symmetry_space_group_name_H-M 'P 63/m m c'
_symmetry_Int_Tables_number 194
_symmetry_space_group_name_Hall '-P 6c 2c'
_cell_length_a 2.8138
_cell_length_b 2.8138
_cell_length_c 9.3862
_cell_angle_alpha 90.00
_cell_angle_beta 90.00
_cell_angle_gamma 120.00
loop_
_atom_site_label
_atom_site_type_symbol
_atom_site_fract_x
_atom_site_fract_y
_atom_site_fract_z
_atom_site_occupancy
Mg1 Mg 0.0000 0.0000 0.0000 1
Tc1 Tc 0.3333 0.6667 0.2500 1



The lowest total DFT energy (no corrections) belongs to which entry?
PmScTc



Number 2 is which compound?
MgTc



energy above the most stable polymorph in this dataset of number 1 (PmScTc)?
0.248 eV per atom